The following is a DFT calculation (GGA-PBE) of crystalline ReSiNi at its relaxed geometry.

The total DFT energy (no corrections) comes out at -0.2765 hartree per atom. The energy above the most stable polymorph in this dataset comes out at 0.503 eV/atom.

Cell: 4.0436 4.0436 4.0436 Å, 60.00 60.00 60.00°
With the nearest neighbours (Å) after each atom.
Element x y z (fractional)
Si1 0.0000 0.0000 0.0000  4 Re 2.48
Ni1 0.5000 0.5000 0.5000  4 Re 2.48
Re1 0.7500 0.7500 0.7500  4 Si 2.48, 4 Ni 2.48